No. 1
{
  "formula": "Li3VO4",
  "functional": "GGA-PBEsol",
  "state": "optimized geometry",
  "lattice": [[-3.7194, 1.6738, -2.9508], [0.8306, -4.9196, -3.8376], [-7.1514, -5.7117, 5.7743]],
  "species": ["Li", "Li", "Li", "Li", "Li", "Li", "Li", "Li", "Li", "Li", "Li", "Li", "V", "V", "V", "V", "O", "O", "O", "O", "O", "O", "O", "O", "O", "O", "O", "O", "O", "O", "O", "O"],
  "fractional_positions": [[0.8104, 0.0037, 0.6666], [0.1896, 0.5037, 0.3334], [0.6896, 0.0037, 0.1666], [0.1896, 0.9963, 0.3334], [0.6947, 0.2500, 0.9210], [0.8053, 0.2500, 0.4210], [0.3104, 0.9963, 0.8334], [0.1947, 0.7500, 0.5790], [0.3104, 0.5037, 0.8334], [0.8104, 0.4963, 0.6666], [0.6896, 0.4963, 0.1666], [0.3053, 0.7500, 0.0790], [0.8162, 0.7500, 0.9140], [0.1838, 0.2500, 0.0860], [0.3162, 0.2500, 0.5860], [0.6838, 0.7500, 0.4140], [0.2944, 0.2500, 0.9364], [0.6581, 0.2500, 0.5865], [0.7930, 0.5268, 0.3383], [0.7930, 0.9732, 0.3383], [0.7944, 0.7500, 0.5636], [0.2930, 0.4732, 0.1617], [0.2070, 0.0268, 0.6617], [0.2930, 0.0268, 0.1617], [0.7056, 0.7500, 0.0636], [0.2056, 0.2500, 0.4364], [0.7070, 0.9732, 0.8383], [0.2070, 0.4732, 0.6617], [0.3419, 0.7500, 0.4135], [0.8419, 0.2500, 0.0865], [0.1581, 0.7500, 0.9135], [0.7070, 0.5268, 0.8383]],
  "magnetic_moment_mub_per_fu": 0.00,
  "sg": "No. 62",
  "formation_energy_uncorrected_ev_per_atom": -2.37,
  "n_ef_per_ev_cell": 0.00
}

=====

No. 2
{
  "formula": "BaNd2BeO5",
  "functional": "GGA-PBEsol",
  "state": "optimized geometry",
  "lattice": [[6.6412, 0.0000, 0.0000], [0.0000, 7.4037, 0.0055], [0.0000, -0.1337, 9.6914]],
  "species": ["Ba", "Ba", "Ba", "Ba", "Nd", "Nd", "Nd", "Nd", "Nd", "Nd", "Nd", "Nd", "Be", "Be", "Be", "Be", "O", "O", "O", "O", "O", "O", "O", "O", "O", "O", "O", "O", "O", "O", "O", "O", "O", "O", "O", "O"],
  "fractional_positions": [[0.4179, 0.9792, 0.6732], [0.9179, 0.0208, 0.8268], [0.5821, 0.0208, 0.3268], [0.0821, 0.9792, 0.1732], [0.5832, 0.4783, 0.3242], [0.0832, 0.5217, 0.1758], [0.4168, 0.5217, 0.6758], [0.9168, 0.4783, 0.8242], [0.9063, 0.7438, 0.5226], [0.4063, 0.2562, 0.9774], [0.0937, 0.2562, 0.4774], [0.5937, 0.7438, 0.0226], [0.1922, 0.7394, 0.9027], [0.3078, 0.7394, 0.4027], [0.8078, 0.2606, 0.0973], [0.6922, 0.2606, 0.5973], [0.3698, 0.7203, 0.2301], [0.8698, 0.2797, 0.2699], [0.6302, 0.2797, 0.7699], [0.1302, 0.7203, 0.7301], [0.8337, 0.7154, 0.2825], [0.3337, 0.2846, 0.2175], [0.1663, 0.2846, 0.7175], [0.6663, 0.7154, 0.7825], [0.9785, 0.7205, 0.9903], [0.5215, 0.7205, 0.4903], [0.0215, 0.2795, 0.0097], [0.4785, 0.2795, 0.5097], [0.8081, 0.0680, 0.5618], [0.3081, 0.9320, 0.9382], [0.1919, 0.9320, 0.4382], [0.6919, 0.0680, 0.0618], [0.1802, 0.5584, 0.4346], [0.6802, 0.4416, 0.0654], [0.8198, 0.4416, 0.5654], [0.3198, 0.5584, 0.9346]],
  "magnetic_moment_mub_per_fu": 0.00,
  "sg": "No. 14",
  "formation_energy_uncorrected_ev_per_atom": -3.11,
  "n_ef_per_ev_cell": 0.00
}